Density functional theory data (PBE-GGA) for Pr3Zn2Pd7 after structural relaxation.

CIF file:
```
data_Pr3Zn2Pd7
_chemical_formula_sum 'Pr3 Zn2 Pd7'
_space_group_name_H-M_alt 'P 1 2/m 1'
_space_group_IT_number 10
_cell_length_a 4.268
_cell_length_b 4.134
_cell_length_c 13.795
_cell_angle_alpha 90.00
_cell_angle_beta 98.78
_cell_angle_gamma 90.00
loop_
_space_group_symop_operation_xyz
'x,y,z'
'-x,-y,-z'
'-x,y,-z'
'x,-y,z'
loop_
_atom_site_label
_atom_site_type_symbol
_atom_site_fract_x
_atom_site_fract_y
_atom_site_fract_z
Pr1 Pr 0.000 0.000 0.000
Pr2 Pr 0.321 0.500 0.640
Zn1 Zn 0.129 0.000 0.261
Pd1 Pd 0.078 0.500 0.158
Pd2 Pd 0.221 0.000 0.443
Pd3 Pd 0.421 0.000 0.841
Pd4 Pd 0.500 0.500 0.000
```

Calculated values
**E_tot**: -5.12 eV/atom
**Formation energy from the elements**: -0.6816 eV per atom
**V**: 20.04 Å³ per atom

Density functional theory data (PBE-GGA) for SrMo4 after structural relaxation.

CIF file:
```
data_SrMo4
_chemical_formula_sum 'Sr1 Mo4'
_space_group_name_H-M_alt 'P m -3 m'
_space_group_IT_number 221
_space_group_name_Hall '-P 4 2 3'
_cell_length_a 4.661
_cell_length_b 4.661
_cell_length_c 4.661
_cell_angle_alpha 90.00
_cell_angle_beta 90.00
_cell_angle_gamma 90.00
loop_
_atom_site_label
_atom_site_type_symbol
_atom_site_fract_x
_atom_site_fract_y
_atom_site_fract_z
Sr1 Sr 0.000 0.000 0.000
Mo1 Mo 0.000 0.000 0.500
Mo2 Mo 0.500 0.500 0.500
```

Calculated values
**E_tot**: -5.84 eV/atom
**Formation energy from the elements**: 3.1630 eV per atom
**V**: 20.25 Å³ per atom

Density functional theory data (PBE-GGA) for LaCuAu4 after structural relaxation.

CIF file:
```
data_LaCuAu4
_chemical_formula_sum 'La4 Cu4 Au16'
_space_group_name_H-M_alt 'F -4 3 m'
_space_group_IT_number 216
_space_group_name_Hall 'F -4 2 3'
_cell_length_a 7.911
_cell_length_b 7.911
_cell_length_c 7.911
_cell_angle_alpha 90.00
_cell_angle_beta 90.00
_cell_angle_gamma 90.00
loop_
_atom_site_label
_atom_site_type_symbol
_atom_site_fract_x
_atom_site_fract_y
_atom_site_fract_z
La1 La 0.000 0.000 0.000
Cu1 Cu 0.250 0.250 0.250
Au1 Au 0.124 0.124 0.624
```

Calculated values
**E_tot**: -4.03 eV/atom
**Formation energy from the elements**: -0.3410 eV per atom
**V**: 20.63 Å³ per atom

Density functional theory data (PBE-GGA) for Pm4GeRh3 after structural relaxation.

CIF file:
```
data_Pm4GeRh3
_chemical_formula_sum 'Pm4 Ge1 Rh3'
_space_group_name_H-M_alt 'P m m 2'
_space_group_IT_number 25
_cell_length_a 4.048
_cell_length_b 4.241
_cell_length_c 10.870
_cell_angle_alpha 90.00
_cell_angle_beta 90.00
_cell_angle_gamma 90.00
loop_
_space_group_symop_operation_xyz
'x,y,z'
'-x,-y,z'
'-x,y,z'
'x,-y,z'
loop_
_atom_site_label
_atom_site_type_symbol
_atom_site_fract_x
_atom_site_fract_y
_atom_site_fract_z
Pm1 Pm 0.000 0.000 0.000
Pm2 Pm 0.000 0.500 0.276
Pm3 Pm 0.500 0.000 0.490
Pm4 Pm 0.500 0.500 0.779
Ge1 Ge 0.000 0.000 0.708
Rh1 Rh 0.000 0.500 0.561
Rh2 Rh 0.500 0.000 0.220
Rh3 Rh 0.500 0.500 0.048
```

Calculated values
**E_tot**: -6.46 eV/atom
**Formation energy from the elements**: -0.7532 eV per atom
**V**: 23.32 Å³ per atom

Density functional theory data (PBE-GGA) for ZnRe2Au after structural relaxation.

CIF file:
```
data_ZnRe2Au
_chemical_formula_sum 'Zn2 Re4 Au2'
_space_group_name_H-M_alt 'C 1 m 1'
_space_group_IT_number 8
_cell_length_a 9.052
_cell_length_b 2.776
_cell_length_c 4.996
_cell_angle_alpha 90.00
_cell_angle_beta 97.59
_cell_angle_gamma 90.00
loop_
_space_group_symop_operation_xyz
'x,y,z'
'x,-y,z'
'x+1/2,y+1/2,z'
'x+1/2,-y+1/2,z'
loop_
_atom_site_label
_atom_site_type_symbol
_atom_site_fract_x
_atom_site_fract_y
_atom_site_fract_z
Zn1 Zn 0.000 0.000 0.000
Re1 Re 0.251 0.500 0.293
Re2 Re 0.498 0.000 0.478
Au1 Au 0.248 0.000 0.794
```

Calculated values
**E_tot**: -7.05 eV/atom
**Formation energy from the elements**: 0.3088 eV per atom
**V**: 15.56 Å³ per atom

Density functional theory data (PBE-GGA) for HoLuFeAg after structural relaxation.

CIF file:
```
data_HoLuFeAg
_chemical_formula_sum 'Ho4 Lu4 Fe4 Ag4'
_space_group_name_H-M_alt 'F -4 3 m'
_space_group_IT_number 216
_space_group_name_Hall 'F -4 2 3'
_cell_length_a 6.871
_cell_length_b 6.871
_cell_length_c 6.871
_cell_angle_alpha 90.00
_cell_angle_beta 90.00
_cell_angle_gamma 90.00
loop_
_atom_site_label
_atom_site_type_symbol
_atom_site_fract_x
_atom_site_fract_y
_atom_site_fract_z
Ho1 Ho 0.000 0.000 0.000
Lu1 Lu 0.000 0.000 0.500
Fe1 Fe 0.250 0.250 0.250
Ag1 Ag 0.250 0.250 0.750
```

Calculated values
**E_tot**: -5.15 eV/atom
**Formation energy from the elements**: -0.0465 eV per atom
**V**: 20.28 Å³ per atom

Density functional theory data (PBE-GGA) for YSiAs after structural relaxation.

CIF file:
```
data_YSiAs
_chemical_formula_sum 'Y4 Si4 As4'
_space_group_name_H-M_alt 'A m m 2'
_space_group_IT_number 38
_cell_length_a 8.854
_cell_length_b 5.458
_cell_length_c 5.510
_cell_angle_alpha 90.00
_cell_angle_beta 90.00
_cell_angle_gamma 90.00
loop_
_space_group_symop_operation_xyz
'x,y,z'
'-x,-y,z'
'-x,y,z'
'x,-y,z'
'x,y+1/2,z+1/2'
'-x,-y+1/2,z+1/2'
'-x,y+1/2,z+1/2'
'x,-y+1/2,z+1/2'
loop_
_atom_site_label
_atom_site_type_symbol
_atom_site_fract_x
_atom_site_fract_y
_atom_site_fract_z
Y1 Y 0.186 0.000 0.000
Si1 Si 0.000 0.000 0.477
Si2 Si 0.500 0.000 0.176
As1 As 0.309 0.000 0.504
```

Calculated values
**E_tot**: -5.96 eV/atom
**V**: 22.19 Å³ per atom
**Formation energy without anion corrections**: -10.241 kcal/mol of atoms

Density functional theory data (PBE-GGA) for Sm2HoZn after structural relaxation.

CIF file:
```
data_Sm2HoZn
_chemical_formula_sum 'Sm2 Ho1 Zn1'
_space_group_name_H-M_alt 'P 4/m m m'
_space_group_IT_number 123
_space_group_name_Hall '-P 4 2'
_cell_length_a 5.455
_cell_length_b 5.455
_cell_length_c 3.755
_cell_angle_alpha 90.00
_cell_angle_beta 90.00
_cell_angle_gamma 90.00
loop_
_atom_site_label
_atom_site_type_symbol
_atom_site_fract_x
_atom_site_fract_y
_atom_site_fract_z
Sm1 Sm 0.000 0.500 0.000
Ho1 Ho 0.000 0.000 0.500
Zn1 Zn 0.500 0.500 0.500
```

Calculated values
**E_tot**: -3.84 eV/atom
**Formation energy from the elements**: -0.0175 eV per atom
**V**: 27.93 Å³ per atom